(1)
Below is a relaxed CdGa2Rh3 crystal, with properties calculated at the GGA-PBE level.

The energy of formation comes out at -556.5 meV per atom. Its crystal system is tetragonal. The value obtained for the spin magnetization is 0.000 Bohr magnetons per cell.

The structure belongs to space group P4/mmm (No. 123); the cell edges are 3.0492, 3.0492 and 9.6190 Å and the angles 90.00°, 90.00° and 90.00°. Symmetry generates all atoms from Cd at (0.0000, 0.0000, 0.0000), Ga at (0.0000, 0.0000, 0.3392), Rh at (0.5000, 0.5000, 0.1946) and Rh at (0.5000, 0.5000, 0.5000).

=====

(2)
Below is a relaxed CdGaRh crystal, with properties calculated at the GGA-PBE level.

The energy of formation comes out at -289.8 meV per atom. Its crystal system is trigonal. The value obtained for the spin magnetization is 0.000 Bohr magnetons per cell.

The structure belongs to space group P3m1 (No. 156); the cell edges are 4.3225, 4.3225 and 3.1453 Å and the angles 90.00°, 90.00° and 120.00°. Symmetry generates all atoms from Cd at (0.0000, 0.0000, 0.0000), Ga at (0.3333, 0.6667, 0.5019) and Rh at (0.6667, 0.3333, 0.4994).

=====

(3)
Below is a relaxed Cd2GaRh crystal, with properties calculated at the GGA-PBE level.

The energy of formation comes out at 132.9 meV per atom. Its crystal system is tetragonal. The value obtained for the spin magnetization is 0.000 Bohr magnetons per cell.

The structure belongs to space group I-42d (No. 122); the cell edges are 7.6814, 7.6814 and 5.3619 Å and the angles 90.00°, 90.00° and 90.00°. Symmetry generates all atoms from Cd at (0.2363, 0.2500, 0.1250), Ga at (0.0000, 0.0000, 0.5000) and Rh at (0.0000, 0.0000, 0.0000).

=====

(4)
Below is a relaxed ScCdGaRh crystal, with properties calculated at the GGA-PBE level.

The energy of formation comes out at -472.6 meV per atom. Its crystal system is cubic. The value obtained for the spin magnetization is 0.000 Bohr magnetons per cell.

The structure belongs to space group F-43m (No. 216); the cell edges are 6.5003, 6.5003 and 6.5003 Å and the angles 90.00°, 90.00° and 90.00°. Symmetry generates all atoms from Sc at (0.0000, 0.0000, 0.0000), Cd at (0.2500, 0.2500, 0.2500), Ga at (0.2500, 0.2500, 0.7500) and Rh at (0.0000, 0.0000, 0.5000).

=====

(5)
Below is a relaxed CdGaRhSe2 crystal, with properties calculated at the GGA-PBE level.

The formation energy from raw total energies is 0.775 eV/atom. Its crystal system is tetragonal. The value obtained for the spin magnetization is 1.359 Bohr magnetons per cell.

The structure belongs to space group P4/mmm (No. 123); the cell edges are 5.2036, 5.2036 and 5.1361 Å and the angles 90.00°, 90.00° and 90.00°. Symmetry generates all atoms from Cd at (0.0000, 0.0000, 0.0000), Ga at (0.5000, 0.5000, 0.5000), Rh at (0.0000, 0.0000, 0.5000) and Se at (0.0000, 0.5000, 0.0000).

=====

(6)
Below is a relaxed CdGa2SiRh crystal, with properties calculated at the GGA-PBE level.

The formation energy from raw total energies is -0.006 eV/atom. Its crystal system is tetragonal. The value obtained for the spin magnetization is 0.000 Bohr magnetons per cell.

The structure belongs to space group P4/mmm (No. 123); the cell edges are 4.8683, 4.8683 and 4.5886 Å and the angles 90.00°, 90.00° and 90.00°. Symmetry generates all atoms from Cd at (0.0000, 0.0000, 0.0000), Ga at (0.0000, 0.5000, 0.5000), Si at (0.5000, 0.5000, 0.0000) and Rh at (0.5000, 0.5000, 0.5000).

=====

(7)
Below is a relaxed Cd2GaSi2Rh5 crystal, with properties calculated at the GGA-PBE level.

The formation energy from raw total energies is -0.539 eV/atom. Its crystal system is tetragonal. The value obtained for the spin magnetization is 0.000 Bohr magnetons per cell.

The structure belongs to space group P4/mbm (No. 127); the cell edges are 9.8170, 9.8170 and 3.1750 Å and the angles 90.00°, 90.00° and 90.00°. Symmetry generates all atoms from Cd at (0.1724, 0.3276, 0.0000), Ga at (0.0000, 0.0000, 0.0000), Si at (0.1302, 0.6302, 0.0000), Rh at (0.0000, 0.5000, 0.5000) and Rh at (0.0730, 0.7981, 0.5000).

=====

(8)
Below is a relaxed Sm2CdGa3Rh4 crystal, with properties calculated at the GGA-PBE level.

The energy of formation comes out at -687.4 meV per atom. Its crystal system is tetragonal. The value obtained for the spin magnetization is 0.000 Bohr magnetons per cell.

The structure belongs to space group P-4m2 (No. 115); the cell edges are 4.2398, 4.2398 and 10.6399 Å and the angles 90.00°, 90.00° and 90.00°. Symmetry generates all atoms from Sm at (0.0000, 0.5000, 0.2357), Cd at (0.0000, 0.0000, 0.5000), Ga at (0.0000, 0.5000, 0.8797), Ga at (0.5000, 0.5000, 0.5000), Rh at (0.0000, 0.0000, 0.0000), Rh at (0.0000, 0.5000, 0.6501) and Rh at (0.5000, 0.5000, 0.0000).

=====

(9)
Below is a relaxed CdGa2Sn2Rh5 crystal, with properties calculated at the GGA-PBE level.

The energy of formation comes out at -257.9 meV per atom. Its crystal system is tetragonal. The value obtained for the spin magnetization is 0.000 Bohr magnetons per cell.

The structure belongs to space group P4/mbm (No. 127); the cell edges are 9.7087, 9.7087 and 3.5813 Å and the angles 90.00°, 90.00° and 90.00°. Symmetry generates all atoms from Cd at (0.0000, 0.0000, 0.0000), Ga at (0.1275, 0.3725, 0.0000), Sn at (0.1721, 0.6721, 0.0000), Rh at (0.0000, 0.5000, 0.5000) and Rh at (0.0993, 0.1937, 0.5000).

=====

(10)
Below is a relaxed SrCd2GaRh crystal, with properties calculated at the GGA-PBE level.

The energy of formation comes out at -313.5 meV per atom. Its crystal system is tetragonal. The value obtained for the spin magnetization is 0.000 Bohr magnetons per cell.

The structure belongs to space group P4/mmm (No. 123); the cell edges are 5.2250, 5.2250 and 4.7826 Å and the angles 90.00°, 90.00° and 90.00°. Symmetry generates all atoms from Sr at (0.0000, 0.0000, 0.0000), Cd at (0.0000, 0.5000, 0.5000), Ga at (0.5000, 0.5000, 0.0000) and Rh at (0.5000, 0.5000, 0.5000).

=====

(11)
Below is a relaxed Sr2CdGaRh crystal, with properties calculated at the GGA-PBE level.

The energy of formation comes out at -307.7 meV per atom. Its crystal system is tetragonal. The value obtained for the spin magnetization is 0.000 Bohr magnetons per cell.

The structure belongs to space group P4/mmm (No. 123); the cell edges are 5.7897, 5.7897 and 4.8190 Å and the angles 90.00°, 90.00° and 90.00°. Symmetry generates all atoms from Sr at (0.0000, 0.5000, 0.0000), Cd at (0.0000, 0.0000, 0.5000), Ga at (0.5000, 0.5000, 0.5000) and Rh at (0.5000, 0.5000, 0.0000).

=====

(12)
Below is a relaxed SrCd2GaRh2 crystal, with properties calculated at the GGA-PBE level.

The energy of formation comes out at -285.7 meV per atom. Its crystal system is tetragonal. The value obtained for the spin magnetization is 0.000 Bohr magnetons per cell.

The structure belongs to space group P4/mmm (No. 123); the cell edges are 4.7036, 4.7036 and 6.1680 Å and the angles 90.00°, 90.00° and 90.00°. Symmetry generates all atoms from Sr at (0.0000, 0.0000, 0.0000), Cd at (0.5000, 0.5000, 0.2403), Ga at (0.0000, 0.0000, 0.5000) and Rh at (0.0000, 0.5000, 0.5000).

=====

Result set for E_tot: -5.394, -4.054, -2.919, -4.879, -2.878, -3.955, -5.785, -5.571, -5.431, -3.092, -3.239, -3.826 eV per atom, one per record in the order listed.
Result set for mass density: 10.408, 9.300, 8.344, 7.980, 5.289, 5.846, 9.391, 8.976, 9.876, 6.169, 4.732, 7.155 g cm⁻³, one per record in the order listed.